No. 1
Material: CsAlSe2
Method: DFT, PBE
State: optimized geometry

DOS at the Fermi energy: 0.0000 states/eV/atom
Formation energy from raw total energies: -1161 meV/atom
Space group: C2/m

```
CsAlSe2
1.0
13.718 0.000 0.000
0.000 6.236 0.000
-0.014 0.000 6.718
Cs Al Se
4 4 8
Cartesian
3.421 0.000 1.561 Cs
3.424 3.118 5.156 Cs
10.284 0.000 5.156 Cs
10.280 3.118 1.561 Cs
-0.007 1.558 3.359 Al
-0.007 4.677 3.359 Al
6.852 1.559 3.359 Al
6.852 4.676 3.359 Al
1.286 3.118 2.040 Se
1.288 0.000 4.679 Se
5.557 3.118 2.039 Se
5.559 0.000 4.678 Se
8.145 0.000 2.040 Se
8.148 3.118 4.679 Se
12.416 0.000 2.039 Se
12.419 3.118 4.678 Se
```


No. 2
Material: CsAlSe2
Method: DFT, PBE
State: optimized geometry

DOS at the Fermi energy: 0.0000 states/eV/atom
Formation energy from raw total energies: -873 meV/atom
Space group: P2_1/c

```
CsAlSe2
1.0
6.834 0.000 0.000
0.000 5.528 0.000
-6.387 0.000 15.469
Cs Al Se
4 4 8
Cartesian
0.036 0.853 2.879 Cs
-3.157 1.911 10.614 Cs
3.604 3.616 4.855 Cs
0.411 4.675 12.590 Cs
-0.294 1.185 7.652 Al
-3.487 1.578 15.387 Al
3.934 3.949 0.082 Al
0.741 4.342 7.817 Al
-2.751 0.976 7.167 Se
-5.944 1.788 14.901 Se
0.201 2.850 5.903 Se
-2.992 5.442 13.637 Se
3.439 0.086 1.832 Se
0.246 2.678 9.566 Se
6.391 3.739 0.568 Se
3.198 4.552 8.302 Se
```


No. 3
Material: CsAlSe2
Method: DFT, PBE
State: optimized geometry

DOS at the Fermi energy: 0.2278 states/eV/atom
Formation energy from raw total energies: -638 meV/atom
Space group: Cmcm

```
CsAlSe2
1.0
3.913 0.000 0.000
0.000 21.220 0.000
0.000 0.000 7.379
Cs Al Se
4 4 8
Cartesian
0.000 1.464 1.845 Cs
0.000 19.757 5.534 Cs
1.956 9.146 5.534 Cs
1.956 12.074 1.845 Cs
0.000 6.797 1.845 Al
0.000 14.423 5.534 Al
1.956 3.813 5.534 Al
1.956 17.408 1.845 Al
0.000 2.307 5.534 Se
0.000 4.584 1.845 Se
0.000 16.636 5.534 Se
0.000 18.913 1.845 Se
1.956 6.026 5.534 Se
1.956 8.303 1.845 Se
1.956 12.917 5.534 Se
1.956 15.194 1.845 Se
```


No. 4
Material: CsAlSiSe2
Method: DFT, PBE
State: optimized geometry

DOS at the Fermi energy: 0.5751 states/eV/atom
Formation energy from raw total energies: -103 meV/atom
Space group: P4/mmm

```
CsAlSiSe2
1.0
5.298 0.000 0.000
0.000 5.298 0.000
0.000 0.000 4.914
Cs Al Si Se
1 1 1 2
Cartesian
0.000 0.000 0.000 Cs
2.649 2.649 2.457 Al
2.649 2.649 0.000 Si
0.000 2.649 2.457 Se
2.649 0.000 2.457 Se
```


No. 5
Material: Cs2AlSiSe4
Method: DFT, PBE
State: optimized geometry

DOS at the Fermi energy: 0.6249 states/eV/atom
Formation energy from raw total energies: -889 meV/atom
Space group: Fddd

```
Cs2AlSiSe4
1.0
0.000 7.379 12.880
3.100 0.000 12.880
3.100 7.379 0.000
Cs Al Si Se
4 2 2 8
Cartesian
2.325 5.535 1.378 Cs
3.875 9.224 7.818 Cs
2.325 5.535 17.943 Cs
3.875 9.224 24.383 Cs
0.775 1.845 3.220 Al
5.424 12.914 22.541 Al
2.325 5.535 9.660 Si
3.875 9.224 16.101 Si
2.290 3.179 4.537 Se
3.909 6.869 10.977 Se
2.359 7.890 4.537 Se
2.359 3.179 14.784 Se
3.840 11.580 10.977 Se
3.840 6.869 21.224 Se
2.290 7.890 14.784 Se
3.909 11.580 21.224 Se
```


No. 6
Material: CsSmAlSe4
Method: DFT, PBE
State: optimized geometry

DOS at the Fermi energy: 0.2592 states/eV/atom
Formation energy from raw total energies: -1301 meV/atom
Space group: P2_1/m

```
CsSmAlSe4
1.0
7.281 0.000 0.000
0.000 6.070 0.000
-2.650 0.000 9.944
Cs Sm Al Se
2 2 2 8
Cartesian
1.691 1.517 0.429 Cs
2.939 4.552 9.515 Cs
0.360 1.517 5.491 Sm
4.271 4.552 4.453 Sm
0.994 4.552 3.360 Al
3.636 1.517 6.584 Al
-1.827 3.105 6.945 Se
-1.827 5.999 6.945 Se
1.513 4.552 5.676 Se
2.815 4.552 1.896 Se
1.816 1.517 8.048 Se
3.117 1.517 4.268 Se
6.457 0.071 2.999 Se
6.457 2.964 2.999 Se
```


No. 7
Material: Cs4Sm3AlSe8
Method: DFT, PBE
State: optimized geometry

Formation energy from raw total energies: -1487 meV/atom
Space group: R-3m

```
Cs4Sm3AlSe8
1.0
4.260 2.460 8.380
-4.260 2.460 8.380
0.000 -4.920 8.380
Cs Sm Al Se
4 3 1 8
Cartesian
0.000 0.000 0.000 Cs
-2.130 -1.230 8.380 Cs
-2.130 1.230 16.761 Cs
0.000 2.460 8.380 Cs
-4.260 0.000 12.571 Sm
-2.130 1.230 4.190 Sm
2.130 1.230 4.190 Sm
0.000 0.000 12.571 Al
0.000 0.000 5.793 Se
-1.970 -1.137 14.075 Se
0.000 -2.275 11.067 Se
-1.970 1.137 11.067 Se
1.970 -1.137 14.075 Se
0.000 2.275 14.075 Se
1.970 1.137 11.067 Se
0.000 0.000 19.348 Se
```


No. 8
Material: CsAl2SnSe
Method: DFT, PBE
State: optimized geometry

DOS at the Fermi energy: 0.7751 states/eV/atom
Formation energy from raw total energies: 385 meV/atom
Space group: P4/mmm

```
CsAl2SnSe
1.0
5.447 0.000 0.000
0.000 5.447 0.000
0.000 0.000 5.893
Cs Al Sn Se
1 2 1 1
Cartesian
0.000 0.000 0.000 Cs
0.000 2.724 2.946 Al
2.724 0.000 2.946 Al
2.724 2.724 0.000 Sn
2.724 2.724 2.946 Se
```


No. 9
Material: Cs2TbAlSe4
Method: DFT, PBE
State: optimized geometry

DOS at the Fermi energy: 0.0000 states/eV/atom
Formation energy from raw total energies: -1346 meV/atom
Space group: Fddd

```
Cs2TbAlSe4
1.0
0.000 7.562 13.355
3.234 0.000 13.355
3.234 7.562 0.000
Cs Tb Al Se
4 2 2 8
Cartesian
2.425 5.672 1.456 Cs
4.042 9.453 8.134 Cs
2.425 5.672 18.577 Cs
4.042 9.453 25.255 Cs
0.808 1.891 3.339 Tb
5.659 13.234 23.372 Tb
2.425 5.672 10.017 Al
4.042 9.453 16.694 Al
3.828 4.222 8.637 Se
3.828 7.122 11.397 Se
5.445 8.003 18.074 Se
5.445 10.903 15.314 Se
1.023 4.222 11.397 Se
1.023 7.122 8.637 Se
2.640 8.003 15.314 Se
2.640 10.903 18.074 Se
```


No. 10
Material: CsTbAlSe4
Method: DFT, PBE
State: optimized geometry

DOS at the Fermi energy: 0.2657 states/eV/atom
Formation energy from raw total energies: -1287 meV/atom
Space group: P2_1/m

```
CsTbAlSe4
1.0
7.198 0.000 0.000
0.000 6.051 0.000
-2.675 0.000 9.890
Cs Tb Al Se
2 2 2 8
Cartesian
1.653 1.513 0.432 Cs
2.871 4.538 9.458 Cs
0.333 1.513 5.461 Tb
4.191 4.538 4.429 Tb
0.967 4.538 3.363 Al
3.557 1.513 6.526 Al
-1.819 3.096 6.873 Se
-1.819 5.981 6.873 Se
1.503 4.538 5.670 Se
2.785 4.538 1.898 Se
1.739 1.513 7.992 Se
3.021 1.513 4.220 Se
6.343 0.070 3.017 Se
6.343 2.955 3.017 Se
```


No. 11
Material: Cs2AlTlSe4
Method: DFT, PBE
State: optimized geometry

Formation energy from raw total energies: -904 meV/atom
Space group: Fddd

```
Cs2AlTlSe4
1.0
0.000 7.477 12.645
3.267 0.000 12.645
3.267 7.477 0.000
Cs Al Tl Se
4 2 2 8
Cartesian
2.450 5.608 1.405 Cs
4.083 9.347 7.727 Cs
2.450 5.608 17.563 Cs
4.083 9.347 23.886 Cs
2.450 5.608 9.484 Al
4.083 9.347 15.807 Al
0.817 1.869 3.161 Tl
5.717 13.085 22.129 Tl
3.900 4.202 8.106 Se
3.900 7.013 10.862 Se
5.533 7.941 17.184 Se
5.533 10.752 14.429 Se
1.000 4.202 10.862 Se
1.000 7.013 8.106 Se
2.633 7.941 14.429 Se
2.633 10.752 17.184 Se
```


No. 12
Material: CsAlTlSe2
Method: DFT, PBE
State: optimized geometry

DOS at the Fermi energy: 0.6462 states/eV/atom
Formation energy from raw total energies: 345 meV/atom
Space group: P4/mmm

```
CsAlTlSe2
1.0
5.699 0.000 0.000
0.000 5.699 0.000
0.000 0.000 6.267
Cs Al Tl Se
1 1 1 2
Cartesian
0.000 0.000 0.000 Cs
2.850 2.850 0.000 Al
0.000 0.000 3.133 Tl
0.000 2.850 3.133 Se
2.850 0.000 3.133 Se
```


What is the formula in the eleventh record?
Cs2AlTlSe4


The highest formation energy from raw total energies belongs to which entry?
CsAl2SnSe